No. 1
This record from Alexandria via LeMat-Bulk describes KTl2In at its PBEsol-relaxed geometry. The functional is meta-GGA SCAN.

Cell lengths 3.4232, 4.8950, 7.4947 Å; angles 90.00, 105.12, 90.00 degrees
Atoms (fractional coordinates):
K1 0.2601 0.5000 0.7492
Tl1 0.9563 0.0000 0.0367
In1 0.5631 0.0000 0.4610
Tl2 0.7205 0.5000 0.2531

Values from the calculation:
ΔE_f   -0.1242 eV/atom
Final energy   -186.93 eV per cell
N(E_F)   1.70 states/eV/f.u.

No. 2
This record from Alexandria via LeMat-Bulk describes Ti3CdPd at its PBEsol-relaxed geometry. The functional is meta-GGA SCAN.

Cell lengths 4.7142, 4.7142, 4.7142 Å; angles 90.00, 90.00, 90.00 degrees
Atoms (fractional coordinates):
Ti1 0.0000 0.0000 0.5000
Cd1 0.5000 0.5000 0.5000
Pd1 0.0000 0.0000 0.0000
Ti2 0.0000 0.5000 0.0000
Ti3 0.5000 0.0000 0.0000

Values from the calculation:
ΔE_f   0.4385 eV/atom
Final energy   -109.09 eV per cell
N(E_F)   8.09 states/eV/f.u.

No. 3
This record from Alexandria via LeMat-Bulk describes Tm2AgIr at its PBEsol-relaxed geometry. The functional is meta-GGA SCAN.

Cell lengths 4.8261, 4.8261, 4.8261 Å; angles 60.00, 60.00, 60.00 degrees
Atoms (fractional coordinates):
Ir1 0.5000 0.5000 0.5000
Tm1 0.2500 0.2500 0.2500
Ag1 0.0000 0.0000 0.0000
Tm2 0.7500 0.7500 0.7500

Values from the calculation:
ΔE_f   -0.8176 eV/atom
Final energy   -209.40 eV per cell
N(E_F)   1.72 states/eV/f.u.

No. 4
This record from Alexandria via LeMat-Bulk describes Sm2BiO2 at its PBEsol-relaxed geometry. The functional is meta-GGA SCAN.

Cell lengths 3.9172, 3.9172, 7.3607 Å; angles 105.43, 105.43, 90.00 degrees
Atoms (fractional coordinates):
O1 0.7500 0.2500 0.5000
Bi1 0.0000 0.0000 0.0000
Sm1 0.6657 0.6657 0.3314
O2 0.2500 0.7500 0.5000
Sm2 0.3343 0.3343 0.6686

Values from the calculation:
E_form (uncorrected)   -2896 meV per atom
Final energy   -194.41 eV per cell
N(E_F)   0.76 states/eV/f.u.

No. 5
This record from Alexandria via LeMat-Bulk describes Na4MnAl3Si3O16 at its PBEsol-relaxed geometry. The functional is meta-GGA SCAN.

Cell lengths 9.1220, 9.1246, 9.1993 Å; angles 90.00, 90.00, 90.12 degrees
Atoms (fractional coordinates):
O1 0.9583 0.8573 0.6470
Si1 0.2508 0.5013 0.5005
Na1 0.7219 0.2221 0.2741
O2 0.0382 0.8538 0.3401
Al1 0.7506 0.9983 0.9955
O3 0.3545 0.1575 0.9579
Na2 0.7256 0.7753 0.7226
O4 0.6455 0.8425 0.9579
Na3 0.7772 0.2773 0.7735
O5 0.8485 0.3553 0.5381
Si2 0.0000 0.0000 0.2450
Na4 0.7762 0.7246 0.2218
O6 0.6496 0.4557 0.3602
Si3 0.5012 0.2508 0.0005
Al2 0.2494 0.0017 0.9955
O7 0.0417 0.1427 0.6470
O8 0.3563 0.9928 0.4028
O9 0.3556 0.8488 0.0381
O10 0.5444 0.3506 0.8605
O11 0.6437 0.0072 0.4028
O12 0.1437 0.4937 0.1011
O13 0.3435 0.4629 0.6476
O14 0.8538 0.0381 0.8402
Mn1 0.5000 0.0000 0.5032
O15 0.1462 0.9619 0.8402
Na5 0.2238 0.2754 0.2218
O16 0.3504 0.5443 0.3602
Na6 0.2228 0.7227 0.7735
Si4 0.4988 0.7492 0.0005
Si5 0.7492 0.4987 0.5005
O17 0.8428 0.6451 0.4578
O18 0.1515 0.6447 0.5381
O19 0.4556 0.6494 0.8605
O20 0.1427 0.0418 0.1472
Si6 0.0000 0.0000 0.7449
Al3 0.5000 0.5000 0.2510
Na7 0.2744 0.2247 0.7226
O21 0.5068 0.8564 0.6038
Al4 0.5000 0.5000 0.7510
O22 0.4932 0.1436 0.6038
Mn2 0.0000 0.5000 0.0006
O23 0.4629 0.3435 0.1477
O24 0.1572 0.3549 0.4578
O25 0.9618 0.1462 0.3401
Al5 0.9984 0.7506 0.4954
O26 0.0066 0.6437 0.9001
O27 0.5371 0.6565 0.1477
O28 0.9934 0.3563 0.9001
Al6 0.0016 0.2494 0.4954
Na8 0.2781 0.7779 0.2741
O29 0.8563 0.5063 0.1011
O30 0.8573 0.9582 0.1472
O31 0.6565 0.5371 0.6476
O32 0.6444 0.1512 0.0381

Values from the calculation:
E_form (uncorrected)   -2689 meV per atom
Final energy   -521.45 eV per cell
N(E_F)   0.00 states/eV/f.u.

No. 6
This record from Alexandria via LeMat-Bulk describes Li4Y3VO8 at its PBEsol-relaxed geometry. The functional is meta-GGA SCAN.

Cell lengths 5.7123, 5.7123, 6.1298 Å; angles 91.09, 91.09, 115.30 degrees
Last column: magnetic moment on the atom in μB.
Atoms (fractional coordinates):
Li1 0.5391 0.9798 0.7528  0.00
O1 0.7589 0.7529 0.7418  0.01
Li2 0.0202 0.4609 0.2472  0.00
O2 0.7369 0.2631 0.0000  0.00
O3 0.7902 0.2098 0.5000  0.00
Li3 0.9730 0.0270 0.0000  0.00
V1 0.9992 0.0008 0.5000  1.83
O4 0.2227 0.2595 0.7307  -0.01
Li4 0.4834 0.5166 0.5000  0.00
O5 0.2471 0.2411 0.2582  0.01
O6 0.2763 0.7237 0.0000  0.00
Y1 0.9949 0.5133 0.7410  0.01
Y2 0.5026 0.4974 0.0000  0.01
O7 0.7405 0.7773 0.2693  -0.01
Y3 0.4867 0.0051 0.2590  0.01
O8 0.2137 0.7863 0.5000  0.00

Values from the calculation:
E_form (uncorrected)   -3005 meV per atom
Final energy   -208.51 eV per cell
Distance to the lowest polymorph of the same formula   0.0 kJ/mol of atoms

No. 7
This record from Alexandria via LeMat-Bulk describes SrSbBr at its PBEsol-relaxed geometry. The functional is meta-GGA SCAN.

Cell lengths 3.9086, 3.9086, 7.9802 Å; angles 90.00, 90.00, 120.00 degrees
Atoms (fractional coordinates):
Sb1 0.3333 0.6667 0.6304
Br1 0.0000 0.0000 0.0668
Sr1 0.6667 0.3333 0.3028

Values from the calculation:
E_form (uncorrected)   -966 meV per atom
Final energy   -81.89 eV per cell
N(E_F)   2.26 states/eV/f.u.

No. 8
This record from Alexandria via LeMat-Bulk describes LiIr2Ru at its PBEsol-relaxed geometry. The functional is meta-GGA SCAN.

Cell lengths 2.7191, 2.7191, 7.0385 Å; angles 90.00, 90.00, 90.00 degrees
Atoms (fractional coordinates):
Ir1 0.0000 0.0000 0.2433
Li1 0.5000 0.5000 0.0000
Ir2 0.0000 0.0000 0.7567
Ru1 0.5000 0.5000 0.5000

Values from the calculation:
ΔE_f   -0.0316 eV/atom
Final energy   -179.54 eV per cell
N(E_F)   3.02 states/eV/f.u.
Distance to the lowest polymorph of the same formula   0.0 kJ/mol of atoms